No. 1
! PBE-GGA PmNpPbO6, optimized geometry; values from VASP
! Uncorrected formation energy = -2490.6 meV/atom
! Density = 7383 kg/m³
&SYSTEM
  ibrav = 0, nat = 18, ntyp = 4
/
ATOMIC_SPECIES
Pm 145.00 Pm.upf
Np 237.00 Np.upf
Pb 207.20 Pb.upf
O 16.00 O.upf
ATOMIC_POSITIONS crystal
Pm 0.3333 0.6667 0.2500
Pm 0.6667 0.3333 0.7500
Np 0.3333 0.6667 0.7500
Np 0.6667 0.3333 0.2500
Pb 0.0000 0.0000 0.0000
Pb 0.0000 0.0000 0.5000
O 0.0395 0.3862 0.6410
O 0.0395 0.6533 0.8590
O 0.3467 0.3862 0.8590
O 0.3467 0.9605 0.6410
O 0.3862 0.0395 0.1410
O 0.3862 0.3467 0.3590
O 0.6138 0.6533 0.6410
O 0.6138 0.9605 0.8590
O 0.6533 0.0395 0.3590
O 0.6533 0.6138 0.1410
O 0.9605 0.3467 0.1410
O 0.9605 0.6138 0.3590
CELL_PARAMETERS angstrom
5.9917 0.0000 0.0000
-2.9959 5.1890 0.0000
0.0000 0.0000 9.9140

No. 2
! PBE-GGA PmNpPb2O6, optimized geometry; values from VASP
! Uncorrected formation energy = -2313.8 meV/atom
! Density = 9072 kg/m³
&SYSTEM
  ibrav = 0, nat = 20, ntyp = 4
/
ATOMIC_SPECIES
Pm 145.00 Pm.upf
Np 237.00 Np.upf
Pb 207.20 Pb.upf
O 16.00 O.upf
ATOMIC_POSITIONS crystal
Pm 0.0000 0.0000 0.0000
Pm 0.0000 0.5000 0.5000
Np 0.5000 0.0000 0.5000
Np 0.5000 0.5000 0.0000
Pb 0.2435 0.0332 0.7482
Pb 0.2435 0.4668 0.2482
Pb 0.7565 0.5332 0.7518
Pb 0.7565 0.9668 0.2518
O 0.1584 0.1832 0.4521
O 0.1584 0.3168 0.9521
O 0.2675 0.7099 0.4470
O 0.2675 0.7901 0.9470
O 0.3645 0.0320 0.2608
O 0.3645 0.4680 0.7608
O 0.6355 0.5320 0.2392
O 0.6355 0.9680 0.7392
O 0.7325 0.2099 0.0530
O 0.7325 0.2901 0.5530
O 0.8416 0.6832 0.0479
O 0.8416 0.8168 0.5479
CELL_PARAMETERS angstrom
6.0320 0.0000 0.0000
0.0000 6.2167 0.0000
-6.0040 0.0000 8.7116